{
  "formula": "Li2PAu",
  "functional": "meta-GGA SCAN",
  "state": "single point on PBEsol structure",
  "e_tot_ev_per_atom": -21.3892,
  "cell": [[2.809, 0.000, 0.000], [-1.404, 2.432, 0.000], [0.000, 0.000, 8.811]],
  "species": ["Li", "Li", "P", "Au"],
  "frac_coords": [[0.000, 0.000, 0.213], [0.000, 0.000, 0.787], [0.667, 0.333, 0.000], [0.000, 0.000, 0.500]]
}

=====

{
  "formula": "Li2PAu",
  "functional": "meta-GGA SCAN",
  "state": "single point on PBEsol structure",
  "e_tot_ev_per_atom": -21.4729,
  "cell": [[8.250, 0.000, 0.000], [0.000, 2.743, 0.000], [-0.779, 0.000, 5.061]],
  "species": ["Li", "Li", "Li", "Li", "P", "P", "Au", "Au"],
  "frac_coords": [[0.243, 0.000, 0.224], [0.257, 0.500, 0.776], [0.743, 0.500, 0.224], [0.757, 0.000, 0.776], [0.000, 0.500, 0.000], [0.500, 0.000, 0.000], [0.000, 0.000, 0.500], [0.500, 0.500, 0.500]]
}

=====

{
  "formula": "Li2PAu",
  "functional": "meta-GGA SCAN",
  "state": "single point on PBEsol structure",
  "e_tot_ev_per_atom": -21.4774,
  "cell": [[2.822, 0.000, 0.000], [-1.411, 2.444, 0.000], [0.000, 0.000, 24.990]],
  "species": ["Li", "Li", "Li", "Li", "Li", "Li", "P", "P", "P", "Au", "Au", "Au"],
  "frac_coords": [[0.000, 0.000, 0.244], [0.000, 0.000, 0.756], [0.333, 0.667, 0.423], [0.333, 0.667, 0.910], [0.667, 0.333, 0.090], [0.667, 0.333, 0.577], [0.000, 0.000, 0.500], [0.333, 0.667, 0.167], [0.667, 0.333, 0.833], [0.000, 0.000, 0.000], [0.333, 0.667, 0.667], [0.667, 0.333, 0.333]]
}

=====

{
  "formula": "Li2PAu",
  "functional": "meta-GGA SCAN",
  "state": "single point on PBEsol structure",
  "e_tot_ev_per_atom": -21.7892,
  "cell": [[7.955, 0.000, 0.000], [0.000, 5.555, 0.000], [-2.139, 0.000, 6.337]],
  "species": ["Li", "Li", "Li", "Li", "Li", "Li", "Li", "Li", "P", "P", "P", "P", "Au", "Au", "Au", "Au"],
  "frac_coords": [[0.197, 0.072, 0.125], [0.197, 0.928, 0.625], [0.303, 0.428, 0.875], [0.303, 0.572, 0.375], [0.697, 0.428, 0.625], [0.697, 0.572, 0.125], [0.803, 0.072, 0.375], [0.803, 0.928, 0.875], [0.000, 0.202, 0.750], [0.000, 0.798, 0.250], [0.500, 0.298, 0.250], [0.500, 0.702, 0.750], [0.000, 0.500, 0.000], [0.000, 0.500, 0.500], [0.500, 0.000, 0.000], [0.500, 0.000, 0.500]]
}